No. 1
Compound: RbCr5Se8
Source: Alexandria via LeMat-Bulk
Functional: PBEsol
Structure: optimized geometry

```
data_RbCr5Se8
_cell_length_a 18.6609
_cell_length_b 3.6364
_cell_length_c 8.9224
_cell_angle_alpha 90.00
_cell_angle_beta 104.60
_cell_angle_gamma 90.00
_space_group_name_H-M_alt 'C 1 2/m 1'
_space_group_IT_number 12
_space_group_name_Hall '-C 2y'
loop_
_atom_site_label
_atom_site_type_symbol
_atom_site_fract_x
_atom_site_fract_y
_atom_site_fract_z
Rb1 Rb 0.0000 0.0000 0.0000
Cr1 Cr 0.0000 0.5000 0.5000
Cr2 Cr 0.1587 0.0000 0.4790
Cr3 Cr 0.2038 0.0000 0.8341
Se1 Se 0.0747 0.0000 0.6560
Se2 Se 0.0870 0.5000 0.3274
Se3 Se 0.1706 0.5000 0.9915
Se4 Se 0.2386 0.5000 0.6575
```

Properties
Energy relative to the elements, uncorrected in kJ per mole of atoms: -56.82
Raw total energy in eV/cell: -182.564
Magnetization in μB/cell: 30.0

=====

No. 2
Compound: RbCrSe2
Source: Alexandria via LeMat-Bulk
Functional: PBEsol
Structure: optimized geometry

```
data_RbCrSe2
_cell_length_a 7.4599
_cell_length_b 7.4599
_cell_length_c 8.2491
_cell_angle_alpha 90.00
_cell_angle_beta 90.00
_cell_angle_gamma 90.00
_space_group_name_H-M_alt 'I -4 2 d'
_space_group_IT_number 122
_space_group_name_Hall 'I -4 2bw'
loop_
_atom_site_label
_atom_site_type_symbol
_atom_site_fract_x
_atom_site_fract_y
_atom_site_fract_z
Rb1 Rb 0.0000 0.0000 0.0000
Cr1 Cr 0.0000 0.0000 0.5000
Se1 Se 0.1389 0.7500 0.6250
```

Properties
Energy relative to the elements, uncorrected in kJ per mole of atoms: -60.57
Raw total energy in eV/cell: -85.915
Magnetization in μB/cell: 12.0

=====

No. 3
Compound: Rb3CrSi
Source: Alexandria via LeMat-Bulk
Functional: PBEsol
Structure: optimized geometry

```
data_Rb3CrSi
_cell_length_a 6.5478
_cell_length_b 6.5478
_cell_length_c 6.5478
_cell_angle_alpha 90.00
_cell_angle_beta 90.00
_cell_angle_gamma 90.00
_space_group_name_H-M_alt 'P m -3 m'
_space_group_IT_number 221
_space_group_name_Hall '-P 4 2 3'
loop_
_atom_site_label
_atom_site_type_symbol
_atom_site_fract_x
_atom_site_fract_y
_atom_site_fract_z
Rb1 Rb 0.0000 0.0000 0.5000
Cr1 Cr 0.0000 0.0000 0.0000
Si1 Si 0.5000 0.5000 0.5000
```

Properties
Energy relative to the elements, uncorrected in kJ per mole of atoms: 120.51
Raw total energy in eV/cell: -12.820
Magnetization in μB/cell: 7.1

=====

No. 4
Compound: RbCrTc2
Source: Alexandria via LeMat-Bulk
Functional: PBEsol
Structure: optimized geometry

```
data_RbCrTc2
_cell_length_a 6.3279
_cell_length_b 6.3279
_cell_length_c 6.3279
_cell_angle_alpha 90.00
_cell_angle_beta 90.00
_cell_angle_gamma 90.00
_space_group_name_H-M_alt 'F m -3 m'
_space_group_IT_number 225
_space_group_name_Hall '-F 4 2 3'
loop_
_atom_site_label
_atom_site_type_symbol
_atom_site_fract_x
_atom_site_fract_y
_atom_site_fract_z
Rb1 Rb 0.0000 0.0000 0.0000
Cr1 Cr 0.0000 0.0000 0.5000
Tc1 Tc 0.2500 0.2500 0.2500
```

Properties
Raw total energy in eV/cell: -106.418
Magnetization in μB/cell: 2.2

=====

Copy entry 4 word for word.
Compound: RbCrTc2
Source: Alexandria via LeMat-Bulk
Functional: PBEsol
Structure: optimized geometry

```
data_RbCrTc2
_cell_length_a 6.3279
_cell_length_b 6.3279
_cell_length_c 6.3279
_cell_angle_alpha 90.00
_cell_angle_beta 90.00
_cell_angle_gamma 90.00
_space_group_name_H-M_alt 'F m -3 m'
_space_group_IT_number 225
_space_group_name_Hall '-F 4 2 3'
loop_
_atom_site_label
_atom_site_type_symbol
_atom_site_fract_x
_atom_site_fract_y
_atom_site_fract_z
Rb1 Rb 0.0000 0.0000 0.0000
Cr1 Cr 0.0000 0.0000 0.5000
Tc1 Tc 0.2500 0.2500 0.2500
```

Properties
Raw total energy in eV/cell: -106.418
Magnetization in μB/cell: 2.2